Ac3PmAs4: optimized geometry, PBE-GGA.

Results
- energy of formation (eV/atom) = -1.457
- size of the total moment (μB per cell) = 0.00
- density of states at the Fermi level (states/eV/cell) = 2.03

```
data_Ac3PmAs4
_space_group_name_H-M_alt 'P m -3 m'
_space_group_IT_number 221
_space_group_name_Hall '-P 4 2 3'
_cell_length_a 6.339
_cell_length_b 6.339
_cell_length_c 6.339
_cell_angle_alpha 90.00
_cell_angle_beta 90.00
_cell_angle_gamma 90.00
loop_
_atom_site_label
_atom_site_type_symbol
_atom_site_fract_x
_atom_site_fract_y
_atom_site_fract_z
_atom_site_occupancy
Ac1 Ac 0.000 0.000 0.500 1
Pm1 Pm 0.500 0.500 0.500 1
As1 As 0.000 0.000 0.000 1
As2 As 0.000 0.500 0.500 1
```

---

DyAl2AgAu2: optimized geometry, PBE-GGA.

Results
- energy of formation (eV/atom) = -0.563
- size of the total moment (μB per cell) = 0.00
- density of states at the Fermi level (states/eV/cell) = 3.48

```
data_DyAl2AgAu2
_space_group_name_H-M_alt 'P -3 m 1'
_space_group_IT_number 164
_space_group_name_Hall '-P 3 2"'
_cell_length_a 4.4670
_cell_length_b 4.4670
_cell_length_c 6.6705
_cell_angle_alpha 90.00
_cell_angle_beta 90.00
_cell_angle_gamma 120.00
loop_
_atom_site_label
_atom_site_type_symbol
_atom_site_fract_x
_atom_site_fract_y
_atom_site_fract_z
_atom_site_occupancy
Dy1 Dy 0.0000 0.0000 0.0000 1
Al1 Al 0.3333 0.6667 0.6850 1
Ag1 Ag 0.0000 0.0000 0.5000 1
Au1 Au 0.3333 0.6667 0.2578 1
```

---

Dy12HoSc6: optimized geometry, PBE-GGA.

Results
- energy of formation (eV/atom) = 0.437
- size of the total moment (μB per cell) = 0.01
- density of states at the Fermi level (states/eV/cell) = 81.38

```
data_Dy12HoSc6
_space_group_name_H-M_alt 'R -3 m'
_space_group_IT_number 166
_space_group_name_Hall '-R 3 2"'
_cell_length_a 14.6040
_cell_length_b 14.6040
_cell_length_c 9.8062
_cell_angle_alpha 90.00
_cell_angle_beta 90.00
_cell_angle_gamma 120.00
loop_
_atom_site_label
_atom_site_type_symbol
_atom_site_fract_x
_atom_site_fract_y
_atom_site_fract_z
_atom_site_occupancy
Dy1 Dy 0.0000 0.3880 0.0000 1
Dy2 Dy 0.0745 0.1491 0.7963 1
Ho1 Ho 0.0000 0.0000 0.5000 1
Sc1 Sc 0.0578 0.5289 0.7162 1
```